[1]
{
  "formula": "KLiHg",
  "functional": "PBE",
  "state": "optimized geometry",
  "cell": [[4.7047, 0.0000, 0.0000], [0.0000, 4.7047, 0.0000], [0.0000, 0.0000, 8.5916]],
  "species": ["K", "K", "Li", "Li", "Hg", "Hg"],
  "fractional_positions": [[0.2500, 0.2500, 0.1500], [0.7500, 0.7500, 0.8500], [0.2500, 0.7500, 0.5000], [0.7500, 0.2500, 0.5000], [0.2500, 0.2500, 0.6937], [0.7500, 0.7500, 0.3063]],
  "e_tot_ev_per_atom": -1.299,
  "ef_ev_per_atom": -0.19,
  "rho_g_cm3": 4.31
}



[2]
{
  "formula": "LiNd2NpS5",
  "functional": "PBE",
  "state": "optimized geometry",
  "cell": [[1.9990, -8.2651, 0.0000], [1.9990, 8.2651, 0.0000], [0.0000, 0.0000, 11.8821]],
  "species": ["Li", "Li", "Nd", "Nd", "Nd", "Nd", "Np", "Np", "S", "S", "S", "S", "S", "S", "S", "S", "S", "S"],
  "fractional_positions": [[0.0173, 0.9827, 0.5000], [0.9827, 0.0173, 0.0000], [0.3751, 0.6249, 0.3214], [0.3912, 0.6088, 0.7083], [0.6088, 0.3912, 0.2083], [0.6249, 0.3751, 0.8214], [0.3003, 0.6997, 0.0264], [0.6997, 0.3003, 0.5264], [0.9997, 0.0003, 0.3032], [0.0003, 0.9997, 0.8032], [0.1349, 0.8651, 0.0218], [0.1912, 0.8088, 0.3693], [0.2118, 0.7882, 0.6831], [0.4522, 0.5478, 0.0905], [0.5478, 0.4522, 0.5905], [0.7882, 0.2118, 0.1831], [0.8088, 0.1912, 0.8693], [0.8651, 0.1349, 0.5218]],
  "e_tot_ev_per_atom": -6.701,
  "rho_g_cm3": 5.86,
  "raw_formation_energy_mev_per_atom": -1698
}



[3]
{
  "formula": "Th5Sc12Au3",
  "functional": "PBE",
  "state": "optimized geometry",
  "cell": [[-8.5413, 8.5413, 8.5413], [8.5413, -8.5413, 8.5413], [8.5413, 8.5413, -8.5413]],
  "species": ["Th", "Th", "Th", "Th", "Th", "Th", "Th", "Th", "Th", "Th", "Th", "Th", "Th", "Th", "Th", "Th", "Th", "Th", "Th", "Th", "Sc", "Sc", "Sc", "Sc", "Sc", "Sc", "Sc", "Sc", "Sc", "Sc", "Sc", "Sc", "Sc", "Sc", "Sc", "Sc", "Sc", "Sc", "Sc", "Sc", "Sc", "Sc", "Sc", "Sc", "Sc", "Sc", "Sc", "Sc", "Sc", "Sc", "Sc", "Sc", "Sc", "Sc", "Sc", "Sc", "Sc", "Sc", "Sc", "Sc", "Sc", "Sc", "Sc", "Sc", "Sc", "Sc", "Sc", "Sc", "Au", "Au", "Au", "Au", "Au", "Au", "Au", "Au", "Au", "Au", "Au", "Au"],
  "fractional_positions": [[0.0000, 0.0000, 0.0000], [0.0000, 0.0000, 0.5000], [0.0000, 0.5000, 0.0000], [0.0000, 0.5000, 0.5000], [0.1250, 0.7500, 0.8750], [0.1250, 0.8750, 0.2500], [0.2500, 0.1250, 0.8750], [0.2500, 0.6250, 0.3750], [0.3750, 0.2500, 0.6250], [0.3750, 0.6250, 0.7500], [0.5000, 0.0000, 0.0000], [0.5000, 0.0000, 0.5000], [0.5000, 0.5000, 0.0000], [0.5000, 0.5000, 0.5000], [0.6250, 0.3750, 0.2500], [0.6250, 0.7500, 0.3750], [0.7500, 0.3750, 0.6250], [0.7500, 0.8750, 0.1250], [0.8750, 0.1250, 0.7500], [0.8750, 0.2500, 0.1250], [0.0552, 0.6430, 0.4022], [0.0552, 0.9122, 0.6530], [0.0878, 0.2408, 0.1430], [0.0878, 0.3470, 0.9448], [0.0978, 0.7408, 0.6530], [0.0978, 0.8570, 0.4448], [0.1430, 0.0878, 0.2408], [0.1430, 0.5552, 0.9022], [0.1530, 0.2408, 0.5978], [0.1530, 0.4122, 0.5552], [0.2408, 0.1430, 0.0878], [0.2408, 0.5978, 0.1530], [0.2592, 0.3470, 0.9022], [0.2592, 0.4122, 0.3570], [0.3470, 0.9022, 0.2592], [0.3470, 0.9448, 0.0878], [0.3570, 0.2592, 0.4122], [0.3570, 0.5978, 0.9448], [0.4022, 0.0552, 0.6430], [0.4022, 0.8470, 0.7592], [0.4122, 0.3570, 0.2592], [0.4122, 0.5552, 0.1530], [0.4448, 0.0978, 0.8570], [0.4448, 0.8470, 0.5878], [0.5552, 0.1530, 0.4122], [0.5552, 0.9022, 0.1430], [0.5878, 0.4448, 0.8470], [0.5878, 0.6430, 0.7408], [0.5978, 0.1530, 0.2408], [0.5978, 0.9448, 0.3570], [0.6430, 0.4022, 0.0552], [0.6430, 0.7408, 0.5878], [0.6530, 0.0552, 0.9122], [0.6530, 0.0978, 0.7408], [0.7408, 0.5878, 0.6430], [0.7408, 0.6530, 0.0978], [0.7592, 0.4022, 0.8470], [0.7592, 0.8570, 0.9122], [0.8470, 0.5878, 0.4448], [0.8470, 0.7592, 0.4022], [0.8570, 0.4448, 0.0978], [0.8570, 0.9122, 0.7592], [0.9022, 0.1430, 0.5552], [0.9022, 0.2592, 0.3470], [0.9122, 0.6530, 0.0552], [0.9122, 0.7592, 0.8570], [0.9448, 0.0878, 0.3470], [0.9448, 0.3570, 0.5978], [0.1250, 0.2500, 0.3750], [0.1250, 0.3750, 0.7500], [0.2500, 0.3750, 0.1250], [0.2500, 0.8750, 0.6250], [0.3750, 0.1250, 0.2500], [0.3750, 0.7500, 0.1250], [0.6250, 0.2500, 0.8750], [0.6250, 0.8750, 0.7500], [0.7500, 0.1250, 0.3750], [0.7500, 0.6250, 0.8750], [0.8750, 0.6250, 0.2500], [0.8750, 0.7500, 0.6250]],
  "e_tot_ev_per_atom": -5.333,
  "ef_ev_per_atom": 0.81,
  "rho_g_cm3": 6.10
}



[4]
{
  "formula": "Li2MnCr",
  "functional": "PBE",
  "state": "optimized geometry",
  "cell": [[-1.5135, 1.9903, 4.6313], [1.5135, -1.9903, 4.6313], [1.5135, 1.9903, -4.6313]],
  "species": ["Li", "Li", "Mn", "Cr"],
  "fractional_positions": [[0.2477, 0.2477, 0.0000], [0.7523, 0.7523, 0.0000], [0.0000, 0.5000, 0.5000], [0.5000, 0.0000, 0.5000]],
  "e_tot_ev_per_atom": -5.361,
  "ef_ev_per_atom": 0.29,
  "rho_g_cm3": 3.60
}



[5]
{
  "formula": "TmTi",
  "functional": "PBE",
  "state": "optimized geometry",
  "cell": [[3.2201, 0.0000, 0.0000], [0.0000, 5.0149, 0.0000], [0.0000, 0.0000, 5.7113]],
  "species": ["Tm", "Tm", "Ti", "Ti"],
  "fractional_positions": [[0.2500, 0.2500, 0.1089], [0.7500, 0.7500, 0.8911], [0.2500, 0.7500, 0.4272], [0.7500, 0.2500, 0.5728]],
  "e_tot_ev_per_atom": -5.963,
  "ef_ev_per_atom": 0.22,
  "rho_g_cm3": 7.81
}



[6]
{
  "formula": "AlTePdCl2",
  "functional": "PBE",
  "state": "optimized geometry",
  "cell": [[4.4471, 0.0000, 0.0000], [0.0000, 4.4471, 0.0000], [0.0000, 0.0000, 5.9066]],
  "species": ["Al", "Te", "Pd", "Cl", "Cl"],
  "fractional_positions": [[0.0000, 0.0000, 0.0000], [0.0000, 0.0000, 0.5000], [0.5000, 0.5000, 0.5000], [0.0000, 0.5000, 0.0000], [0.5000, 0.0000, 0.0000]],
  "e_tot_ev_per_atom": -3.483,
  "rho_g_cm3": 4.72,
  "raw_formation_energy_mev_per_atom": -329
}



[7]
{
  "formula": "RbLi2ZnHg",
  "functional": "PBE",
  "state": "optimized geometry",
  "cell": [[5.4256, 0.0000, 0.0000], [0.0000, 5.4256, 0.0000], [0.0000, 0.0000, 5.0870]],
  "species": ["Rb", "Li", "Li", "Zn", "Hg"],
  "fractional_positions": [[0.0000, 0.0000, 0.0000], [0.0000, 0.5000, 0.5000], [0.5000, 0.0000, 0.5000], [0.5000, 0.5000, 0.0000], [0.5000, 0.5000, 0.5000]],
  "e_tot_ev_per_atom": -1.269,
  "ef_ev_per_atom": 0.01,
  "rho_g_cm3": 4.05
}



[8]
{
  "formula": "YMn2Mo",
  "functional": "PBE",
  "state": "optimized geometry",
  "cell": [[-1.6917, 2.4417, 4.3999], [1.6917, -2.4417, 4.3999], [1.6917, 2.4417, -4.3999]],
  "species": ["Y", "Mn", "Mn", "Mo"],
  "fractional_positions": [[0.0000, 0.0000, 0.0000], [0.2812, 0.7812, 0.5000], [0.7188, 0.2188, 0.5000], [0.5000, 0.5000, 0.0000]],
  "e_tot_ev_per_atom": -8.437,
  "ef_ev_per_atom": 0.47,
  "rho_g_cm3": 6.73
}



[9]
{
  "formula": "MgCrPd",
  "functional": "PBE",
  "state": "optimized geometry",
  "cell": [[4.7089, 0.0000, 0.0000], [-2.3131, 4.3065, 0.0000], [-1.1835, -2.0692, 4.6523]],
  "species": ["Mg", "Mg", "Cr", "Cr", "Pd", "Pd"],
  "fractional_positions": [[0.2138, 0.3294, 0.2262], [0.7862, 0.6706, 0.7738], [0.4880, 0.0564, 0.8435], [0.5120, 0.9436, 0.1565], [0.0807, 0.3107, 0.6939], [0.9193, 0.6893, 0.3061]],
  "e_tot_ev_per_atom": -5.440,
  "ef_ev_per_atom": 0.03,
  "rho_g_cm3": 6.43
}



[10]
{
  "formula": "Be2TlBr",
  "functional": "PBE",
  "state": "optimized geometry",
  "cell": [[3.2777, -1.6747, 0.0000], [3.2777, 1.6747, 0.0000], [-3.2104, 0.0000, 6.9610]],
  "species": ["Be", "Be", "Tl", "Br"],
  "fractional_positions": [[0.0881, 0.0881, 0.2638], [0.9119, 0.9119, 0.7362], [0.5000, 0.5000, 0.5000], [0.5000, 0.5000, 0.0000]],
  "e_tot_ev_per_atom": -2.356,
  "rho_g_cm3": 6.57,
  "raw_formation_energy_mev_per_atom": 517
}



[11]
{
  "formula": "Tb8Er4Mg",
  "functional": "PBE",
  "state": "optimized geometry",
  "cell": [[3.5417, 2.0448, 9.6134], [-3.5417, 2.0448, 9.6134], [0.0000, -4.0896, 9.6134]],
  "species": ["Tb", "Tb", "Tb", "Tb", "Tb", "Tb", "Tb", "Tb", "Er", "Er", "Er", "Er", "Mg"],
  "fractional_positions": [[0.2136, 0.2136, 0.2136], [0.2222, 0.7459, 0.7459], [0.2541, 0.2541, 0.7778], [0.2541, 0.7778, 0.2541], [0.7459, 0.2222, 0.7459], [0.7459, 0.7459, 0.2222], [0.7778, 0.2541, 0.2541], [0.7864, 0.7864, 0.7864], [0.0000, 0.0000, 0.0000], [0.0000, 0.5000, 0.5000], [0.5000, 0.0000, 0.5000], [0.5000, 0.5000, 0.0000], [0.5000, 0.5000, 0.5000]],
  "e_tot_ev_per_atom": -4.183,
  "ef_ev_per_atom": 0.19,
  "rho_g_cm3": 7.81
}



[12]
{
  "formula": "NaCu3Mo",
  "functional": "PBE",
  "state": "optimized geometry",
  "cell": [[4.7831, 0.0000, 0.0000], [0.0000, 4.7831, 0.0000], [0.0000, 0.0000, 4.7831]],
  "species": ["Na", "Cu", "Cu", "Cu", "Mo"],
  "fractional_positions": [[0.0000, 0.0000, 0.0000], [0.0000, 0.5000, 0.5000], [0.5000, 0.0000, 0.5000], [0.5000, 0.5000, 0.0000], [0.5000, 0.5000, 0.5000]],
  "e_tot_ev_per_atom": -3.753,
  "ef_ev_per_atom": 1.14,
  "rho_g_cm3": 4.70
}